# La6As2AuI3

A geometry-optimized La6As2AuI3 structure (PBE, the Alexandria database). Values from VASP.

Structure (Quantum ESPRESSO input):
```
&SYSTEM
  ibrav = 0, nat = 12, ntyp = 4
/
ATOMIC_SPECIES
La 138.91 La.upf
As 74.92 As.upf
Au 196.97 Au.upf
I 126.90 I.upf
ATOMIC_POSITIONS crystal
La 0.092 0.430 0.789
La 0.232 0.232 0.211
La 0.430 0.092 0.789
La 0.570 0.908 0.211
La 0.768 0.768 0.789
La 0.908 0.570 0.211
As 0.166 0.834 0.000
As 0.834 0.166 0.000
Au 0.500 0.500 0.000
I 0.000 0.000 0.500
I 0.333 0.667 0.500
I 0.667 0.333 0.500
CELL_PARAMETERS angstrom
3.855 -6.660 0.000
3.855 6.660 0.000
-2.557 0.000 7.598
```

- Volume: 390.13 Å³/cell
- Electronic total energy: -5.1231 eV/atom
- ΔE_f (raw): -1224 meV per atom
- Density of states at the Fermi level: 9.2 states/eV per cell